1.
Density functional theory data (PBE) for a geometry-optimized Co2ReTcH structure.

a = 3.6787 Å, b = 3.6787 Å, c = 3.8739 Å
α = 90.00°, β = 90.00°, γ = 90.00°
Closest atoms and distances in Å follow each position.
Space group P4/mmm (No. 123)
Asymmetric unit:
Co  0.0000  0.5000  0.0000 x2  2 H 1.84
Re  0.0000  0.0000  0.5000 x1  2 H 1.94
Tc  0.5000  0.5000  0.5000 x1  4 Re 2.60, 8 Co 2.67
H  0.0000  0.0000  0.0000 x1  4 Co 1.84, 2 Re 1.94

Output
- magnetic moment (μB per cell) = 0.8
- calculated volume (Å³/cell) = 52.42
- VASP energy (eV per atom) = -7.98
- N(E_F) (states/eV/atom) = 0.89

---

2.
Density functional theory data (PBE) for a geometry-optimized Y2HfTi structure.

a = 7.3924 Å, b = 7.3924 Å, c = 7.3924 Å
α = 90.00°, β = 90.00°, γ = 90.00°
Closest atoms and distances in Å follow each position.
Space group Fm-3m (No. 225)
Asymmetric unit:
Y  0.2500  0.2500  0.2500 x8  4 Hf 3.20, 4 Ti 3.20
Hf  0.0000  0.0000  0.0000 x4  8 Y 3.20
Ti  0.0000  0.0000  0.5000 x4  8 Y 3.20

Output
- E_form (eV/atom) = 0.404
- magnetic moment (μB per cell) = 0.0
- calculated volume (Å³/cell) = 403.97
- N(E_F) (states/eV/atom) = 2.61

---

3.
Density functional theory data (PBE) for a geometry-optimized La2ZnSn3Rh4 structure.

a = 4.4350 Å, b = 4.4350 Å, c = 10.9215 Å
α = 90.00°, β = 90.00°, γ = 90.00°
Closest atoms and distances in Å follow each position.
Space group P-4m2 (No. 115)
Asymmetric unit:
La  0.0000  0.5000  0.2460 x2  8 Rh 3.38-3.55, 6 Sn 3.41-3.48, 2 Zn 3.48
Zn  0.5000  0.5000  0.0000 x1  4 Rh 2.63
Sn  0.0000  0.0000  0.0000 x1  4 Rh 2.63
Sn  0.0000  0.5000  0.6302 x2  5 Rh 2.62-2.63
Rh  0.0000  0.0000  0.5000 x1  4 Sn 2.63
Rh  0.0000  0.5000  0.8699 x2  3 Sn 2.62-2.63, 2 Zn 2.63
Rh  0.5000  0.5000  0.5000 x1  4 Sn 2.63

Output
- E_form (eV/atom) = -0.713
- magnetic moment (μB per cell) = 0.0
- calculated volume (Å³/cell) = 214.82
- N(E_F) (states/eV/atom) = 0.67

---

4.
Density functional theory data (PBE) for a geometry-optimized Co2NiBr structure.

a = 3.5435 Å, b = 3.5435 Å, c = 17.4284 Å
α = 90.00°, β = 90.00°, γ = 120.00°
Closest atoms and distances in Å follow each position.
Space group R3m (No. 160, hexagonal axes)
Asymmetric unit:
Co  0.0000  0.0000  0.0000 x3  3 Co 2.27, 3 Ni 2.32
Co  0.0000  0.0000  0.2770 x3  3 Co 2.27
Ni  0.0000  0.0000  0.7297 x3  3 Co 2.32
Br  0.0000  0.0000  0.5008 x3  3 Ni 2.74, 3 Co 2.80

Output
- magnetic moment (μB per cell) = 13.6
- calculated volume (Å³/cell) = 189.52
- VASP energy (eV per atom) = -4.89
- N(E_F) (states/eV/atom) = 0.99